Density functional theory data (PBEsol) for a relaxed Li4FeSbW2O12 crystal.

Computed properties:
Uncorrected formation energy (eV per atom): -1.932
Magnetization (μB per formula unit): 5.001
Energy (eV per atom): -7.53
Mass density (g/cm³): 6.29
Crystal system: triclinic

Geometry as CIF:
```
data_Li4FeSbW2O12
_cell_length_a 5.0837
_cell_length_b 5.3760
_cell_length_c 7.4073
_cell_angle_alpha 85.76
_cell_angle_beta 89.99
_cell_angle_gamma 89.86
_space_group_name_H-M_alt 'P 1'
_space_group_IT_number 1
_space_group_name_Hall 'P 1'
loop_
_atom_site_label
_atom_site_type_symbol
_atom_site_fract_x
_atom_site_fract_y
_atom_site_fract_z
Li1 Li 0.0000 0.0000 0.0000
Li2 Li 0.0045 0.0545 0.5621
Li3 Li 0.4992 0.5764 0.0248
Li4 Li 0.5049 0.5744 0.5580
Fe1 Fe 0.5016 0.0052 0.7604
Sb1 Sb 0.0060 0.4866 0.2574
W1 W 0.9996 0.4901 0.7563
W2 W 0.5065 0.9904 0.2569
O1 O 0.1393 0.4674 0.5045
O2 O 0.1785 0.1695 0.8017
O3 O 0.2024 0.7887 0.1745
O4 O 0.3065 0.6607 0.8033
O5 O 0.3196 0.2879 0.1808
O6 O 0.3753 0.9673 0.4883
O7 O 0.6209 0.9627 0.0104
O8 O 0.6816 0.6659 0.3161
O9 O 0.7052 0.2910 0.6844
O10 O 0.8075 0.7768 0.6878
O11 O 0.8195 0.1600 0.3151
O12 O 0.8736 0.4723 0.0034
```


Density functional theory data (PBEsol) for a relaxed Li2ScFeSi4O12 crystal.

Computed properties:
Uncorrected formation energy (eV per atom): -2.629
Magnetization (μB per formula unit): 5.000
Energy (eV per atom): -7.90
Mass density (g/cm³): 3.22
Crystal system: monoclinic

Geometry as CIF:
```
data_Li2ScFeSi4O12
_cell_length_a 9.7608
_cell_length_b 8.8319
_cell_length_c 5.3349
_cell_angle_alpha 90.00
_cell_angle_beta 110.21
_cell_angle_gamma 90.00
_space_group_name_H-M_alt 'C 1 2 1'
_space_group_IT_number 5
_space_group_name_Hall 'C 2y'
loop_
_atom_site_label
_atom_site_type_symbol
_atom_site_fract_x
_atom_site_fract_y
_atom_site_fract_z
Li1 Li 0.0000 0.0000 0.0000
Li2 Li 0.0000 0.4976 0.5000
Sc1 Sc 0.0000 0.1456 0.5000
Fe1 Fe 0.0000 0.3550 0.0000
Si1 Si 0.2023 0.6564 0.9776
Si2 Si 0.2022 0.8334 0.4804
O1 O 0.1179 0.3334 0.3965
O2 O 0.1187 0.1610 0.9101
O3 O 0.1293 0.4890 0.9123
O4 O 0.1309 0.9989 0.4085
O5 O 0.1415 0.7486 0.6946
O6 O 0.1462 0.7376 0.2000
```


Density functional theory data (PBEsol) for a relaxed LiFeSe4O10 crystal.

Computed properties:
Uncorrected formation energy (eV per atom): -0.973
Magnetization (μB per formula unit): 5.000
Energy (eV per atom): -5.90
Mass density (g/cm³): 4.31
Crystal system: orthorhombic

Geometry as CIF:
```
data_LiFeSe4O10
_cell_length_a 5.8924
_cell_length_b 6.8253
_cell_length_c 10.3175
_cell_angle_alpha 90.00
_cell_angle_beta 90.00
_cell_angle_gamma 90.00
_space_group_name_H-M_alt 'P n c 2'
_space_group_IT_number 30
_space_group_name_Hall 'P 2 -2bc'
loop_
_atom_site_label
_atom_site_type_symbol
_atom_site_fract_x
_atom_site_fract_y
_atom_site_fract_z
Li1 Li 0.0000 0.0000 0.0000
Fe1 Fe 0.5000 0.0000 0.8783
Se1 Se 0.2248 0.1325 0.2782
Se2 Se 0.2727 0.6364 0.0878
O1 O 0.0000 0.0000 0.3713
O2 O 0.0828 0.2051 0.1461
O3 O 0.2207 0.1611 0.8746
O4 O 0.3103 0.6484 0.5067
O5 O 0.4050 0.6876 0.2320
O6 O 0.5000 0.0000 0.5025
```


Density functional theory data (PBEsol) for a relaxed Li2Fe2Si8O19 crystal.

Computed properties:
Uncorrected formation energy (eV per atom): -2.443
Magnetization (μB per formula unit): 8.000
Energy (eV per atom): -7.85
Mass density (g/cm³): 2.63
Crystal system: monoclinic

Geometry as CIF:
```
data_Li2Fe2Si8O19
_cell_length_a 14.1526
_cell_length_b 5.0432
_cell_length_c 12.1284
_cell_angle_alpha 90.00
_cell_angle_beta 107.16
_cell_angle_gamma 90.00
_space_group_name_H-M_alt 'C 1 2 1'
_space_group_IT_number 5
_space_group_name_Hall 'C 2y'
loop_
_atom_site_label
_atom_site_type_symbol
_atom_site_fract_x
_atom_site_fract_y
_atom_site_fract_z
Li1 Li 0.1187 0.0000 0.1338
Fe1 Fe 0.2126 0.3053 0.9250
Si1 Si 0.0009 0.0185 0.3311
Si2 Si 0.0670 0.7823 0.9109
Si3 Si 0.1261 0.5277 0.4371
Si4 Si 0.2056 0.2184 0.6646
O1 O 0.0000 0.8237 0.0000
O2 O 0.0076 0.9364 0.2025
O3 O 0.0522 0.3039 0.3632
O4 O 0.0656 0.8050 0.4220
O5 O 0.0872 0.4813 0.8883
O6 O 0.1141 0.0262 0.6720
O7 O 0.1609 0.4572 0.5733
O8 O 0.1642 0.9645 0.9723
O9 O 0.2206 0.5423 0.3874
O10 O 0.2369 0.8303 0.2087
```


Density functional theory data (PBEsol) for a relaxed LiFeSiO4 crystal.

Computed properties:
Uncorrected formation energy (eV per atom): -2.007
Magnetization (μB per formula unit): 5.010
Energy (eV per atom): -7.39
Mass density (g/cm³): 2.98
Crystal system: orthorhombic

Geometry as CIF:
```
data_LiFeSiO4
_cell_length_a 7.8070
_cell_length_b 9.0252
_cell_length_c 4.9072
_cell_angle_alpha 90.00
_cell_angle_beta 90.00
_cell_angle_gamma 90.00
_space_group_name_H-M_alt 'P n a 21'
_space_group_IT_number 33
_space_group_name_Hall 'P 2c -2n'
loop_
_atom_site_label
_atom_site_type_symbol
_atom_site_fract_x
_atom_site_fract_y
_atom_site_fract_z
Li1 Li 0.0498 0.1071 0.0000
Fe1 Fe 0.1772 0.5182 0.0679
Si1 Si 0.2211 0.3561 0.6169
O1 O 0.0456 0.4381 0.7299
O2 O 0.1389 0.9611 0.2773
O3 O 0.2123 0.1836 0.7165
O4 O 0.2463 0.3610 0.2877
```


Density functional theory data (PBEsol) for a relaxed Li2FeSiO4 crystal.

Computed properties:
Uncorrected formation energy (eV per atom): -2.100
Magnetization (μB per formula unit): 4.000
Energy (eV per atom): -7.06
Mass density (g/cm³): 3.24
Crystal system: monoclinic

Geometry as CIF:
```
data_Li2FeSiO4
_cell_length_a 6.3640
_cell_length_b 4.9055
_cell_length_c 10.6172
_cell_angle_alpha 90.00
_cell_angle_beta 91.49
_cell_angle_gamma 90.00
_space_group_name_H-M_alt 'P 1 21/c 1'
_space_group_IT_number 14
_space_group_name_Hall '-P 2ybc'
loop_
_atom_site_label
_atom_site_type_symbol
_atom_site_fract_x
_atom_site_fract_y
_atom_site_fract_z
Li1 Li 0.0097 0.1870 0.3267
Li2 Li 0.2400 0.1900 0.5725
Fe1 Fe 0.4874 0.7255 0.1795
Si1 Si 0.2360 0.6834 0.4198
O1 O 0.0262 0.7090 0.8474
O2 O 0.2426 0.7294 0.0701
O3 O 0.2587 0.1507 0.9075
O4 O 0.4499 0.6803 0.8557
```


> The lowest mass density belongs to which entry?

Li2Fe2Si8O19


Please write out number 4 again, unchanged.
Density functional theory data (PBEsol) for a relaxed Li2Fe2Si8O19 crystal.

Computed properties:
Uncorrected formation energy (eV per atom): -2.443
Magnetization (μB per formula unit): 8.000
Energy (eV per atom): -7.85
Mass density (g/cm³): 2.63
Crystal system: monoclinic

Geometry as CIF:
```
data_Li2Fe2Si8O19
_cell_length_a 14.1526
_cell_length_b 5.0432
_cell_length_c 12.1284
_cell_angle_alpha 90.00
_cell_angle_beta 107.16
_cell_angle_gamma 90.00
_space_group_name_H-M_alt 'C 1 2 1'
_space_group_IT_number 5
_space_group_name_Hall 'C 2y'
loop_
_atom_site_label
_atom_site_type_symbol
_atom_site_fract_x
_atom_site_fract_y
_atom_site_fract_z
Li1 Li 0.1187 0.0000 0.1338
Fe1 Fe 0.2126 0.3053 0.9250
Si1 Si 0.0009 0.0185 0.3311
Si2 Si 0.0670 0.7823 0.9109
Si3 Si 0.1261 0.5277 0.4371
Si4 Si 0.2056 0.2184 0.6646
O1 O 0.0000 0.8237 0.0000
O2 O 0.0076 0.9364 0.2025
O3 O 0.0522 0.3039 0.3632
O4 O 0.0656 0.8050 0.4220
O5 O 0.0872 0.4813 0.8883
O6 O 0.1141 0.0262 0.6720
O7 O 0.1609 0.4572 0.5733
O8 O 0.1642 0.9645 0.9723
O9 O 0.2206 0.5423 0.3874
O10 O 0.2369 0.8303 0.2087
```